Material: Ta2CoO2
Method: DFT, PBE+U
State: relaxed

Properties
E above lowest polymorph: 0 kJ/mol of formula units
N(E_F): 1.6 states/eV/f.u.

Cell lengths 6.217, 6.217, 6.217 Å; angles 149.32, 149.32, 43.95 degrees
Fractional coordinates of all 5 atoms:
Ta 0.135 0.135 0.000
Ta 0.865 0.865 0.000
Co 0.500 0.500 0.000
O 0.250 0.750 0.500
O 0.750 0.250 0.500